Entry 1:
Entry from Alexandria: a relaxed structure of PRu (GGA-PBE). Values from VASP.

Structure (Quantum ESPRESSO input):
```
&SYSTEM
  ibrav = 0, nat = 4, ntyp = 2
/
ATOMIC_SPECIES
P 30.97 P.upf
Ru 101.07 Ru.upf
CELL_PARAMETERS angstrom
6.920 0.000 0.000
0.000 3.138 0.000
-0.863 0.000 2.907
ATOMIC_POSITIONS angstrom
P 0.000 0.000 0.000
P 3.460 1.569 0.000
Ru 1.387 1.569 0.886
Ru 4.847 0.000 0.886
```

Space group   Cm (8)
Energy of formation   -0.214 eV per atom
ΔE to the lowest computed polymorph   0.3476 eV per atom

=====

Entry 2:
Entry from Alexandria: a relaxed structure of SmZrTi4 (GGA-PBE). Values from VASP.

Structure (Quantum ESPRESSO input):
```
&SYSTEM
  ibrav = 0, nat = 6, ntyp = 3
/
ATOMIC_SPECIES
Sm 150.36 Sm.upf
Zr 91.22 Zr.upf
Ti 47.87 Ti.upf
CELL_PARAMETERS angstrom
0.000 4.011 4.011
4.011 0.000 4.011
4.011 4.011 0.000
ATOMIC_POSITIONS angstrom
Sm 0.000 0.000 0.000
Zr 6.016 6.016 6.016
Ti 3.038 3.038 3.038
Ti 4.984 4.984 3.038
Ti 4.984 3.038 4.984
Ti 3.038 4.984 4.984
```

Space group   F-43m (216)
Energy of formation   0.260 eV per atom

=====

Entry 3:
Entry from Alexandria: a relaxed structure of ScAg2Cl2 (GGA-PBE). Values from VASP.

Structure (Quantum ESPRESSO input):
```
&SYSTEM
  ibrav = 0, nat = 10, ntyp = 3
/
ATOMIC_SPECIES
Sc 44.96 Sc.upf
Ag 107.87 Ag.upf
Cl 35.45 Cl.upf
CELL_PARAMETERS angstrom
4.452 0.000 0.000
0.000 4.452 0.000
0.000 0.000 11.425
ATOMIC_POSITIONS angstrom
Sc 0.000 0.000 0.000
Sc 2.226 2.226 5.712
Ag 0.000 0.000 4.422
Ag 0.000 0.000 7.003
Ag 2.226 2.226 1.290
Ag 2.226 2.226 10.134
Cl 0.000 2.226 2.856
Cl 0.000 2.226 8.568
Cl 2.226 0.000 2.856
Cl 2.226 0.000 8.568
```

Space group   I4/mmm (139)
Formation energy without anion corrections   -168.7 meV/atom
ΔE to the lowest computed polymorph   0.3885 eV per atom

=====

Entry 4:
Entry from Alexandria: a relaxed structure of CeHf2H8 (GGA-PBE). Values from VASP.

Structure (Quantum ESPRESSO input):
```
&SYSTEM
  ibrav = 0, nat = 11, ntyp = 3
/
ATOMIC_SPECIES
Ce 140.12 Ce.upf
Hf 178.49 Hf.upf
H 1.01 H.upf
CELL_PARAMETERS angstrom
3.035 -4.650 0.000
3.035 4.650 0.000
-0.356 0.000 3.591
ATOMIC_POSITIONS angstrom
Ce 0.000 0.000 0.000
Hf 2.858 1.564 1.795
Hf 2.858 -1.564 1.795
H 0.845 1.313 1.912
H 3.035 2.327 0.000
H 0.845 -1.313 1.912
H 2.258 0.000 0.766
H 3.458 0.000 2.824
H 4.870 1.313 1.678
H 3.035 -2.327 0.000
H 4.870 -1.313 1.678
```

Space group   C2/m (12)
ΔE to the lowest computed polymorph   0.0000 eV per atom

=====

Entry 5:
Entry from Alexandria: a relaxed structure of Tm6Sb3C (GGA-PBE). Values from VASP.

Structure (Quantum ESPRESSO input):
```
&SYSTEM
  ibrav = 0, nat = 20, ntyp = 3
/
ATOMIC_SPECIES
Tm 168.93 Tm.upf
Sb 121.76 Sb.upf
C 12.01 C.upf
CELL_PARAMETERS angstrom
5.865 -6.894 0.000
5.865 6.894 0.000
0.000 0.000 7.042
ATOMIC_POSITIONS angstrom
Tm 5.865 6.354 3.521
Tm 4.104 3.399 3.691
Tm 5.865 3.786 6.835
Tm 4.028 0.506 6.948
Tm 4.028 -0.506 3.426
Tm 7.625 3.399 3.691
Tm 4.104 -3.399 0.170
Tm 7.701 0.506 6.948
Tm 7.701 -0.506 3.426
Tm 5.865 -3.786 3.314
Tm 7.625 -3.399 0.170
Tm 5.865 -6.354 0.000
Sb 2.080 1.397 4.883
Sb 2.080 -1.397 1.362
Sb 5.865 1.542 2.058
Sb 5.865 -1.542 5.579
Sb 9.649 1.397 4.883
Sb 9.649 -1.397 1.362
C 5.865 4.421 4.671
C 5.865 -4.421 1.149
```

Space group   Cmc2_1 (36)
Formation energy without anion corrections   -555.6 meV/atom

=====

Entry 6:
Entry from Alexandria: a relaxed structure of LaZr2Mo (GGA-PBE). Values from VASP.

Structure (Quantum ESPRESSO input):
```
&SYSTEM
  ibrav = 0, nat = 16, ntyp = 3
/
ATOMIC_SPECIES
La 138.91 La.upf
Zr 91.22 Zr.upf
Mo 95.94 Mo.upf
CELL_PARAMETERS angstrom
7.077 0.000 0.000
0.000 7.077 0.000
0.000 0.000 7.077
ATOMIC_POSITIONS angstrom
La 0.000 0.000 0.000
La 0.000 3.539 3.539
La 3.539 0.000 3.539
La 3.539 3.539 0.000
Zr 1.769 1.769 1.769
Zr 1.769 1.769 5.308
Zr 1.769 5.308 1.769
Zr 1.769 5.308 5.308
Zr 5.308 1.769 1.769
Zr 5.308 1.769 5.308
Zr 5.308 5.308 1.769
Zr 5.308 5.308 5.308
Mo 0.000 0.000 3.539
Mo 0.000 3.539 0.000
Mo 3.539 0.000 0.000
Mo 3.539 3.539 3.539
```

Space group   Fm-3m (225)
Energy of formation   0.299 eV per atom
ΔE to the lowest computed polymorph   0.2138 eV per atom

=====

Going through the records in order, we get M_tot values of 0.00 6.98 1.01 1.07 0.58 0.00 μB/f.u..
Going through the records in order, we get total energy values of -7.557 -7.214 -3.314 -5.190 -5.398 -7.915 eV per atom.